(1)
An optimized crystal structure of LaZr2Ir2. Source: Alexandria via LeMat-Bulk, functional PBE.

a = 8.2033 Å, b = 8.2033 Å, c = 3.0552 Å
α = 90.00°, β = 90.00°, γ = 90.00°
Fractional positions:
La  0.0000  0.0000  0.0000
La  0.5000  0.5000  0.0000
Zr  0.1429  0.3571  0.0000
Zr  0.3571  0.8571  0.0000
Zr  0.6429  0.1429  0.0000
Zr  0.8571  0.6429  0.0000
Ir  0.1483  0.6483  0.5000
Ir  0.3517  0.1483  0.5000
Ir  0.6483  0.8517  0.5000
Ir  0.8517  0.3517  0.5000

Polymorph energy (0 for the lowest one) ... 199 meV per atom
Crystal system ... tetragonal

(2)
An optimized crystal structure of LaZrIr4. Source: Alexandria via LeMat-Bulk, functional PBE.

a = 5.3694 Å, b = 5.3694 Å, c = 5.3694 Å
α = 60.00°, β = 60.00°, γ = 60.00°
Fractional positions:
La  0.0000  0.0000  0.0000
Zr  0.7500  0.7500  0.7500
Ir  0.3753  0.3753  0.3753
Ir  0.3753  0.3753  0.8741
Ir  0.3753  0.8741  0.3753
Ir  0.8741  0.3753  0.3753

Crystal system ... cubic

(3)
An optimized crystal structure of LaZr2Ir. Source: Alexandria via LeMat-Bulk, functional PBE.

a = 5.0453 Å, b = 5.0453 Å, c = 3.2985 Å
α = 90.00°, β = 90.00°, γ = 90.00°
Fractional positions:
La  0.0000  0.0000  0.0000
Zr  0.0000  0.5000  0.5000
Zr  0.5000  0.0000  0.5000
Ir  0.5000  0.5000  0.0000

Crystal system ... tetragonal

(4)
An optimized crystal structure of LaZr2Ir. Source: Alexandria via LeMat-Bulk, functional PBE.

a = 4.1837 Å, b = 4.1837 Å, c = 10.0740 Å
α = 90.00°, β = 90.00°, γ = 90.00°
Fractional positions:
La  0.0000  0.0000  0.0000
La  0.5000  0.5000  0.5000
Zr  0.0000  0.0000  0.5000
Zr  0.0000  0.5000  0.7500
Zr  0.5000  0.0000  0.2500
Zr  0.5000  0.5000  0.0000
Ir  0.0000  0.5000  0.2500
Ir  0.5000  0.0000  0.7500

Crystal system ... tetragonal

(5)
An optimized crystal structure of La3ZrIr. Source: Alexandria via LeMat-Bulk, functional PBE.

a = 5.6137 Å, b = 5.6137 Å, c = 5.6137 Å
α = 90.00°, β = 90.00°, γ = 90.00°
Fractional positions:
La  0.0000  0.0000  0.5000
La  0.0000  0.5000  0.0000
La  0.5000  0.0000  0.0000
Zr  0.5000  0.5000  0.5000
Ir  0.0000  0.0000  0.0000

Polymorph energy (0 for the lowest one) ... 0 meV per atom
Crystal system ... cubic

(6)
An optimized crystal structure of La2ZrIr. Source: Alexandria via LeMat-Bulk, functional PBE.

a = 3.4346 Å, b = 5.1674 Å, c = 5.3076 Å
α = 90.00°, β = 90.00°, γ = 90.00°
Fractional positions:
La  0.0000  0.0000  0.0000
La  0.5000  0.0000  0.5000
Zr  0.0000  0.5000  0.5000
Ir  0.5000  0.5000  0.0000

Polymorph energy (0 for the lowest one) ... 302 meV per atom
Crystal system ... orthorhombic

(7)
An optimized crystal structure of La2ZrIr. Source: Alexandria via LeMat-Bulk, functional PBE.

a = 3.4769 Å, b = 3.4769 Å, c = 8.9433 Å
α = 90.00°, β = 90.00°, γ = 90.00°
Fractional positions:
La  0.0000  0.0000  0.0000
La  0.5000  0.5000  0.3552
Zr  0.0000  0.0000  0.6295
Ir  0.5000  0.5000  0.7790

Polymorph energy (0 for the lowest one) ... 10 meV per atom
Crystal system ... tetragonal

(8)
An optimized crystal structure of La2ZrIr. Source: Alexandria via LeMat-Bulk, functional PBE.

a = 4.3107 Å, b = 4.3107 Å, c = 10.6460 Å
α = 90.00°, β = 90.00°, γ = 90.00°
Fractional positions:
La  0.0000  0.0000  0.0000
La  0.0000  0.5000  0.2500
La  0.5000  0.0000  0.7500
La  0.5000  0.5000  0.5000
Zr  0.0000  0.5000  0.7500
Zr  0.5000  0.0000  0.2500
Ir  0.0000  0.0000  0.5000
Ir  0.5000  0.5000  0.0000

Polymorph energy (0 for the lowest one) ... 290 meV per atom
Crystal system ... tetragonal

(9)
An optimized crystal structure of LaZr2Ir. Source: Alexandria via LeMat-Bulk, functional PBE.

a = 5.8843 Å, b = 9.7875 Å, c = 3.2051 Å
α = 90.00°, β = 110.52°, γ = 90.00°
Fractional positions:
La  0.0000  0.0000  0.0000
La  0.5000  0.5000  0.0000
Zr  0.2500  0.2500  0.5000
Zr  0.2500  0.7500  0.5000
Zr  0.7500  0.2500  0.5000
Zr  0.7500  0.7500  0.5000
Ir  0.0000  0.5000  0.0000
Ir  0.5000  0.0000  0.0000

Crystal system ... monoclinic

(10)
An optimized crystal structure of LaZr2Ir. Source: Alexandria via LeMat-Bulk, functional PBE.

a = 3.3052 Å, b = 3.3052 Å, c = 8.7229 Å
α = 90.00°, β = 90.00°, γ = 90.00°
Fractional positions:
La  0.0000  0.0000  0.0000
Zr  0.0000  0.0000  0.5831
Zr  0.5000  0.5000  0.3424
Ir  0.5000  0.5000  0.7571

Crystal system ... tetragonal

(11)
An optimized crystal structure of La2ZrIr2. Source: Alexandria via LeMat-Bulk, functional PBE.

a = 7.3535 Å, b = 7.3535 Å, c = 4.4648 Å
α = 90.00°, β = 90.00°, γ = 90.00°
Fractional positions:
La  0.1644  0.3356  0.0000
La  0.3356  0.8356  0.0000
La  0.6644  0.1644  0.0000
La  0.8356  0.6644  0.0000
Zr  0.0000  0.0000  0.5000
Zr  0.5000  0.5000  0.5000
Ir  0.1481  0.6481  0.5000
Ir  0.3519  0.1481  0.5000
Ir  0.6481  0.8519  0.5000
Ir  0.8519  0.3519  0.5000

Crystal system ... tetragonal

(12)
An optimized crystal structure of La2ZrIr. Source: Alexandria via LeMat-Bulk, functional PBE.

a = 7.2209 Å, b = 7.2209 Å, c = 7.2209 Å
α = 90.00°, β = 90.00°, γ = 90.00°
Fractional positions:
La  0.0000  0.0000  0.0000
La  0.0000  0.5000  0.5000
La  0.2500  0.2500  0.2500
La  0.2500  0.7500  0.7500
La  0.5000  0.0000  0.5000
La  0.5000  0.5000  0.0000
La  0.7500  0.2500  0.7500
La  0.7500  0.7500  0.2500
Zr  0.2500  0.2500  0.7500
Zr  0.2500  0.7500  0.2500
Zr  0.7500  0.2500  0.2500
Zr  0.7500  0.7500  0.7500
Ir  0.0000  0.0000  0.5000
Ir  0.0000  0.5000  0.0000
Ir  0.5000  0.0000  0.0000
Ir  0.5000  0.5000  0.5000

Polymorph energy (0 for the lowest one) ... 257 meV per atom
Crystal system ... cubic

| no. | calculated total energy (eV per formula unit) | energy relative to the elements (meV/atom) |
| --- | --- | --- |
| 1 | -42.6 | -566 |
| 2 | -52.6 | -608 |
| 3 | -31.2 | -73 |
| 4 | -30.9 | 2 |
| 5 | -32.0 | 40 |
| 6 | -27.3 | -8 |
| 7 | -28.5 | -300 |
| 8 | -27.3 | -20 |
| 9 | -31.0 | -24 |
| 10 | -32.1 | -303 |
| 11 | -39.0 | -569 |
| 12 | -27.5 | -53 |